This record from Alexandria describes a geometry-optimized BeZnS2 structure. The functional is PBE.

a b c (Å): 5.417 5.417 5.417
angles (deg): 105.52 105.52 117.70
Atoms (fractional coordinates):
Be: 0.250 0.750 0.500
Be: 0.750 0.250 0.500
Zn: 0.250 0.250 0.000
Zn: 0.750 0.750 0.000
S: 0.171 0.671 0.842
S: 0.329 0.171 0.500
S: 0.671 0.829 0.500
S: 0.829 0.329 0.158

Summary:
**Symmetry**: I4/mcm, No. 140
**Size of the total moment**: 0.0 μB/f.u.
**Formation energy without anion corrections**: -35.6 kJ per mole of atoms
**Crystal system**: tetragonal
**Energy relative to the lowest polymorph listed for this composition**: 0.553 eV per atom
**E**: -14.73 eV per formula unit